## w
TePt3O (GGA-PBE, relaxed); density of states at the Fermi level = 7.5 states/eV/cell; V = 121.8 Å³/cell; mass density = 9.933 Mg/m³
1.0
-0.388 -4.929 -0.362
4.423 -0.508 2.182
-2.206 -0.152 4.437
Pt Te O
3 1 1
direct
0.500 0.000 0.000
0.000 0.000 0.500
0.000 0.500 0.000
0.000 0.000 0.000
0.500 0.500 0.500


## x
TePt3O (GGA-PBE, relaxed); density of states at the Fermi level = 5.2 states/eV/cell; V = 84.6 Å³/cell; mass density = 14.314 Mg/m³
1.0
4.389 0.000 0.000
0.000 4.389 0.000
0.000 0.000 4.389
Te Pt O
1 3 1
direct
0.500 0.500 0.500
0.000 0.500 0.000
0.500 0.000 0.000
0.000 0.000 0.500
0.000 0.000 0.000


Sorted by energy, starting with the most stable: x, w.


## w
TiPtO2 (GGA-PBE, relaxed); density of states at the Fermi level = 4.2 states/eV/cell; V = 43.5 Å³/cell; mass density = 10.484 Mg/m³
1.0
0.000 2.792 2.792
2.792 0.000 2.792
2.792 2.792 0.000
Pt O Ti
1 2 1
direct
0.500 0.500 0.500
0.750 0.750 0.750
0.250 0.250 0.250
0.000 0.000 0.000


## x
TiPtO2 (GGA-PBE, relaxed); density of states at the Fermi level = 3.6 states/eV/cell; V = 46.4 Å³/cell; mass density = 9.830 Mg/m³
1.0
1.678 0.000 6.351
-0.839 1.453 6.351
-0.839 -1.453 6.351
Pt O Ti
1 2 1
direct
0.000 0.000 0.000
0.892 0.892 0.892
0.108 0.108 0.108
0.500 0.500 0.500


## y
TiPtO2 (GGA-PBE, relaxed); density of states at the Fermi level = 5.0 states/eV/cell; V = 112.1 Å³/cell; mass density = 8.145 Mg/m³
1.0
-2.543 -1.298 4.010
-0.805 -4.447 -1.950
2.215 -4.436 2.990
Pt O Ti
2 4 2
direct
0.000 0.000 0.000
0.750 0.250 0.500
0.534 0.125 0.250
0.875 0.784 0.750
0.216 0.625 0.250
0.375 0.466 0.750
0.500 0.500 0.000
0.250 0.750 0.500


Sorted by energy, starting with the most stable: x, y, w.


## w
Ti4Pt2O (GGA-PBE, relaxed); density of states at the Fermi level = 3.4 states/eV/cell; V = 107.4 Å³/cell; mass density = 9.239 Mg/m³
1.0
4.021 0.000 0.000
0.000 4.021 0.000
2.011 2.011 6.642
Ti Pt O
4 2 1
direct
0.180 0.180 0.640
0.000 0.500 0.000
0.820 0.820 0.360
0.500 0.000 0.000
0.363 0.363 0.274
0.637 0.637 0.726
0.000 0.000 0.000


## x
Ti4Pt2O (GGA-PBE, relaxed); density of states at the Fermi level = 13.0 states/eV/cell; V = 209.6 Å³/cell; mass density = 9.471 Mg/m³
1.0
-1.171 -2.522 -1.355
5.093 -3.839 2.747
-5.510 -1.675 7.875
Ti O Pt
8 2 4
direct
0.500 0.677 0.065
0.000 0.145 0.693
0.500 0.323 0.935
0.000 0.355 0.193
0.000 0.645 0.807
0.500 0.177 0.435
0.500 0.823 0.565
0.000 0.855 0.307
0.000 0.500 0.000
0.000 0.000 0.500
0.500 0.951 0.864
0.500 0.451 0.636
0.500 0.049 0.136
0.500 0.549 0.364


Sorted by energy, starting with the most stable: w, x.


## w
Tl2Pt2O (GGA-PBE, relaxed); density of states at the Fermi level = 2.4 states/eV/cell; V = 100.9 Å³/cell; mass density = 13.409 Mg/m³
1.0
-0.423 0.623 -3.594
3.431 -1.161 -0.605
-1.021 -7.254 -3.014
Tl O Pt
2 1 2
direct
0.595 0.595 0.811
0.405 0.405 0.189
0.000 0.000 0.000
0.750 0.250 0.500
0.250 0.750 0.500


## x
Tl2Pt2O (GGA-PBE, relaxed); density of states at the Fermi level = 3.0 states/eV/cell; V = 189.2 Å³/cell; mass density = 14.306 Mg/m³
1.0
-5.930 -3.108 -0.119
3.041 -5.847 1.189
-0.413 0.629 4.151
Tl O Pt
4 2 4
direct
0.172 0.328 0.000
0.672 0.172 0.000
0.328 0.828 0.000
0.828 0.672 0.000
0.500 0.500 0.000
0.000 0.000 0.000
0.139 0.639 0.500
0.361 0.139 0.500
0.861 0.361 0.500
0.639 0.861 0.500


Sorted by energy, starting with the most stable: w, x.


## w
Tl2PtO (GGA-PBE, relaxed); density of states at the Fermi level = 1.0 states/eV/cell; V = 166.7 Å³/cell; mass density = 12.346 Mg/m³
1.0
6.600 0.000 0.000
0.000 6.600 0.000
3.300 3.300 3.827
Tl O Pt
4 2 2
direct
0.375 0.420 0.750
0.875 0.830 0.750
0.580 0.125 0.250
0.170 0.625 0.250
0.500 0.500 0.000
0.250 0.750 0.500
0.750 0.250 0.500
0.000 0.000 0.000


## x
Tl2PtO (GGA-PBE, relaxed); density of states at the Fermi level = 5.4 states/eV/cell; V = 76.1 Å³/cell; mass density = 13.530 Mg/m³
1.0
0.000 3.363 3.363
3.363 0.000 3.363
3.363 3.363 0.000
O Pt Tl
1 1 2
direct
0.000 0.000 0.000
0.500 0.500 0.500
0.250 0.250 0.250
0.750 0.750 0.750


Sorted by energy, starting with the most stable: w, x.